Here is Ac2CdCu3 after structural relaxation from Alexandria. Energies are from PBE.

Summary:
- Theoretical density: 8.36 g cm⁻³
- Magnetic moment: 0.00 Bohr magnetons per cell
- E above lowest polymorph: 0.00 kcal/mol of atoms
- Energy of formation from the pure elements: -189 meV per atom

```
data_Ac2CdCu3
_chemical_formula_sum 'Ac4 Cd2 Cu6'
_space_group_name_H-M_alt 'I m m 2'
_space_group_IT_number 44
_space_group_name_Hall 'I 2 -2'
_cell_length_a 4.183
_cell_length_b 4.297
_cell_length_c 16.740
_cell_angle_alpha 90.00
_cell_angle_beta 90.00
_cell_angle_gamma 90.00
loop_
_atom_site_label
_atom_site_type_symbol
_atom_site_fract_x
_atom_site_fract_y
_atom_site_fract_z
Ac1 Ac 0.000 0.000 0.000
Ac2 Ac 0.000 0.500 0.273
Cd1 Cd 0.000 0.000 0.602
Cu1 Cu 0.000 0.000 0.431
Cu2 Cu 0.000 0.500 0.697
Cu3 Cu 0.000 0.500 0.848
```